(1)
BaSn4Pt | PBE | optimized geometry

Lattice parameters (Å, degrees): 13.236 7.101 7.571 90.00 96.77 90.00
Space group C2/c (No. 15)
Inequivalent atoms, fractional coordinates:
Ba 0.000 0.107 0.250 [4 per cell]
Sn 0.068 0.395 0.906 [8 per cell]
Sn 0.244 0.115 0.649 [8 per cell]
Pt 0.250 0.250 0.000 [4 per cell]

Calculated values
- Calculated volume: 29.441 Å³/atom
- Mass density: 7.6 g cm⁻³
- Energy relative to the elements: -0.41 eV per atom
- Crystal system: monoclinic

(2)
Sr2CaY2 | PBE | optimized geometry

Lattice parameters (Å, degrees): 10.340 10.340 3.991 90.00 90.00 90.00
Space group P4/mbm (No. 127)
Inequivalent atoms, fractional coordinates:
Sr 0.179 0.321 0.000 [4 per cell]
Ca 0.000 0.000 0.500 [2 per cell]
Y 0.114 0.614 0.500 [4 per cell]

Calculated values
- Polymorph energy (0 for the lowest one): 0 meV per atom
- Calculated volume: 42.670 Å³/atom
- Mass density: 3.1 g cm⁻³
- Energy relative to the elements: 0.28 eV per atom
- Crystal system: tetragonal

(3)
Pm4Tl2Sn | PBE | optimized geometry

Lattice parameters (Å, degrees): 5.4059 5.4059 26.5369 90.00 90.00 120.00
Space group R-3m (No. 166, hexagonal axes)
Inequivalent atoms, fractional coordinates:
Pm 0.0000 0.0000 0.1226 [6 per cell]
Pm 0.0000 0.0000 0.3760 [6 per cell]
Tl 0.0000 0.0000 0.2566 [6 per cell]
Sn 0.0000 0.0000 0.5000 [3 per cell]

Calculated values
- Calculated volume: 31.981 Å³/atom
- Mass density: 8.2 g cm⁻³
- Energy relative to the elements: -0.32 eV per atom
- Crystal system: trigonal

(4)
Ta2TiS | PBE | optimized geometry

Lattice parameters (Å, degrees): 3.833 3.833 19.181 90.00 90.00 90.00
Space group I-42d (No. 122)
Inequivalent atoms, fractional coordinates:
Ta 0.246 0.250 0.125 [8 per cell]
Ti 0.000 0.000 0.500 [4 per cell]
S 0.000 0.000 0.000 [4 per cell]

Calculated values
- Calculated volume: 17.615 Å³/atom
- Mass density: 10.4 g cm⁻³
- Crystal system: tetragonal
- Formation energy from raw total energies: 165 meV/atom

(5)
Rb2SnAsC | PBE | optimized geometry

Lattice parameters (Å, degrees): 6.486 6.486 4.066 90.00 90.00 90.00
Space group P4/mmm (No. 123)
Inequivalent atoms, fractional coordinates:
Rb 0.000 0.500 0.000 [2 per cell]
Sn 0.000 0.000 0.500 [1 per cell]
As 0.500 0.500 0.500 [1 per cell]
C 0.000 0.000 0.000 [1 per cell]

Calculated values
- Calculated volume: 34.203 Å³/atom
- Mass density: 3.7 g cm⁻³
- Energy relative to the elements: 0.76 eV per atom
- Crystal system: tetragonal

(6)
MgTaAu | PBE | optimized geometry

Lattice parameters (Å, degrees): 3.062 3.798 9.452 90.00 90.00 90.00
Space group Pmm2 (No. 25)
Inequivalent atoms, fractional coordinates:
Mg 0.000 0.000 0.000 [1 per cell]
Mg 0.000 0.000 0.322 [1 per cell]
Ta 0.000 0.000 0.661 [1 per cell]
Ta 0.500 0.500 0.814 [1 per cell]
Au 0.500 0.500 0.147 [1 per cell]
Au 0.500 0.500 0.484 [1 per cell]

Calculated values
- Polymorph energy (0 for the lowest one): 30 meV per atom
- Calculated volume: 18.319 Å³/atom
- Mass density: 12.2 g cm⁻³
- Energy relative to the elements: -0.17 eV per atom
- Crystal system: orthorhombic

(7)
TlCuF3 | PBE | optimized geometry

Lattice parameters (Å, degrees): 4.148 4.148 4.148 90.00 90.00 90.00
Space group Pm-3m (No. 221)
Inequivalent atoms, fractional coordinates:
Tl 0.000 0.000 0.000 [1 per cell]
Cu 0.500 0.500 0.500 [1 per cell]
F 0.000 0.500 0.500 [3 per cell]

Calculated values
- Calculated volume: 14.274 Å³/atom
- Mass density: 7.6 g cm⁻³
- Crystal system: cubic
- Formation energy from raw total energies: -1643 meV/atom

(8)
Sr2TlW | PBE | optimized geometry

Lattice parameters (Å, degrees): 7.761 7.761 7.761 90.00 90.00 90.00
Space group F-43m (No. 216)
Inequivalent atoms, fractional coordinates:
Sr 0.000 0.000 0.000 [4 per cell]
Sr 0.250 0.250 0.250 [4 per cell]
Tl 0.000 0.000 0.500 [4 per cell]
W 0.250 0.250 0.750 [4 per cell]

Calculated values
- Polymorph energy (0 for the lowest one): 188 meV per atom
- Calculated volume: 29.218 Å³/atom
- Mass density: 8.0 g cm⁻³
- Energy relative to the elements: 0.90 eV per atom
- Crystal system: cubic

(9)
Li3GaPb4 | PBE | optimized geometry

Lattice parameters (Å, degrees): 14.970 5.203 5.202 90.00 110.15 90.00
Space group C2/m (No. 12)
Inequivalent atoms, fractional coordinates:
Li 0.000 0.000 0.000 [2 per cell]
Li 0.247 0.000 0.248 [4 per cell]
Ga 0.000 0.500 0.500 [2 per cell]
Pb 0.124 0.000 0.623 [4 per cell]
Pb 0.124 0.500 0.124 [4 per cell]

Calculated values
- Calculated volume: 23.771 Å³/atom
- Mass density: 8.0 g cm⁻³
- Energy relative to the elements: -0.17 eV per atom
- Crystal system: monoclinic

(10)
TaAl4Cu | PBE | optimized geometry

Lattice parameters (Å, degrees): 7.258 7.258 7.258 90.00 90.00 90.00
Space group F-43m (No. 216)
Inequivalent atoms, fractional coordinates:
Ta 0.000 0.000 0.000 [4 per cell]
Al 0.125 0.125 0.625 [16 per cell]
Cu 0.250 0.250 0.250 [4 per cell]

Calculated values
- Calculated volume: 15.928 Å³/atom
- Mass density: 6.1 g cm⁻³
- Energy relative to the elements: 0.15 eV per atom
- Crystal system: cubic

(11)
TiBrF3 | PBE | optimized geometry

Lattice parameters (Å, degrees): 5.085 6.787 7.864 90.00 130.25 90.00
Space group Pc (No. 7)
Inequivalent atoms, fractional coordinates:
Ti 0.000 0.004 0.000 [2 per cell]
Br 0.947 0.351 0.000 [2 per cell]
F 0.204 0.211 0.500 [2 per cell]
F 0.541 0.067 0.277 [2 per cell]
F 0.987 0.067 0.724 [2 per cell]

Calculated values
- Polymorph energy (0 for the lowest one): 0 meV per atom
- Calculated volume: 20.715 Å³/atom
- Mass density: 3.0 g cm⁻³
- Crystal system: monoclinic
- Formation energy from raw total energies: -2743 meV/atom

(12)
HfSi2Pd | PBE | optimized geometry

Lattice parameters (Å, degrees): 4.135 4.135 17.067 90.00 90.00 90.00
Space group I-42d (No. 122)
Inequivalent atoms, fractional coordinates:
Hf 0.000 0.000 0.000 [4 per cell]
Si 0.179 0.250 0.625 [8 per cell]
Pd 0.000 0.000 0.500 [4 per cell]

Calculated values
- Calculated volume: 18.235 Å³/atom
- Mass density: 7.8 g cm⁻³
- Crystal system: tetragonal
- Formation energy from raw total energies: -214 meV/atom

(13)
Na2Ga4Au3 | PBE | optimized geometry

Lattice parameters (Å, degrees): 5.853 9.771 12.932 90.00 90.00 90.00
Space group Fmmm (No. 69)
Inequivalent atoms, fractional coordinates:
Na 0.000 0.000 0.124 [8 per cell]
Ga 0.000 0.169 0.331 [16 per cell]
Au 0.000 0.000 0.500 [4 per cell]
Au 0.250 0.250 0.000 [8 per cell]

Calculated values
- Calculated volume: 20.545 Å³/atom
- Mass density: 8.2 g cm⁻³
- Energy relative to the elements: -0.21 eV per atom
- Crystal system: orthorhombic

(14)
PuZnAu2 | PBE | optimized geometry

Lattice parameters (Å, degrees): 4.256 10.499 7.316 90.00 90.00 90.00
Space group Cmcm (No. 63)
Inequivalent atoms, fractional coordinates:
Pu 0.000 0.065 0.250 [4 per cell]
Zn 0.000 0.223 0.750 [4 per cell]
Au 0.000 0.366 0.054 [8 per cell]

Calculated values
- Calculated volume: 20.432 Å³/atom
- Mass density: 14.3 g cm⁻³
- Energy relative to the elements: -0.39 eV per atom
- Crystal system: orthorhombic

(15)
Zn2Ni2Hg | PBE | optimized geometry

Lattice parameters (Å, degrees): 7.154 7.154 2.782 90.00 90.00 90.00
Space group P4/mbm (No. 127)
Inequivalent atoms, fractional coordinates:
Zn 0.130 0.370 0.000 [4 per cell]
Ni 0.164 0.664 0.500 [4 per cell]
Hg 0.000 0.000 0.000 [2 per cell]

Calculated values
- Polymorph energy (0 for the lowest one): 24 meV per atom
- Calculated volume: 14.241 Å³/atom
- Mass density: 10.5 g cm⁻³
- Energy relative to the elements: -0.01 eV per atom
- Crystal system: tetragonal

(16)
Pr8Ge3PdI4 | PBE | optimized geometry

Lattice parameters (Å, degrees): 8.7889 8.7889 23.0940 90.00 90.00 120.00
Space group R-3m (No. 166, hexagonal axes)
Inequivalent atoms, fractional coordinates:
Pr 0.0000 0.0000 0.2342 [6 per cell]
Pr 0.0020 0.5010 0.2335 [18 per cell]
Ge 0.0000 0.5000 0.5000 [9 per cell]
Pd 0.0000 0.0000 0.5000 [3 per cell]
I 0.0000 0.0000 0.0000 [3 per cell]
I 0.0000 0.5000 0.0000 [9 per cell]

Calculated values
- Calculated volume: 32.186 Å³/atom
- Mass density: 6.3 g cm⁻³
- Crystal system: trigonal
- Formation energy from raw total energies: -963 meV/atom

(17)
VGe2Pt2 | PBE | optimized geometry

Lattice parameters (Å, degrees): 7.143 7.143 3.093 90.00 90.00 90.00
Space group P4/mbm (No. 127)
Inequivalent atoms, fractional coordinates:
V 0.000 0.000 0.000 [2 per cell]
Ge 0.153 0.347 0.000 [4 per cell]
Pt 0.149 0.649 0.500 [4 per cell]

Calculated values
- Calculated volume: 15.783 Å³/atom
- Mass density: 12.3 g cm⁻³
- Energy relative to the elements: -0.11 eV per atom
- Crystal system: tetragonal

(18)
LaHf3Mo | PBE | optimized geometry

Lattice parameters (Å, degrees): 5.125 5.125 5.125 90.00 90.00 90.00
Space group Pm-3m (No. 221)
Inequivalent atoms, fractional coordinates:
La 0.000 0.000 0.000 [1 per cell]
Hf 0.000 0.500 0.500 [3 per cell]
Mo 0.500 0.500 0.500 [1 per cell]

Calculated values
- Polymorph energy (0 for the lowest one): 0 meV per atom
- Calculated volume: 26.915 Å³/atom
- Mass density: 9.5 g cm⁻³
- Energy relative to the elements: 0.46 eV per atom
- Crystal system: cubic

(19)
Pr12SmTl3 | PBE | optimized geometry

Lattice parameters (Å, degrees): 5.045 5.045 20.652 90.00 90.00 90.00
Space group P4/mmm (No. 123)
Inequivalent atoms, fractional coordinates:
Pr 0.000 0.000 0.000 [1 per cell]
Pr 0.000 0.000 0.245 [2 per cell]
Pr 0.000 0.000 0.500 [1 per cell]
Pr 0.000 0.500 0.122 [4 per cell]
Pr 0.000 0.500 0.368 [4 per cell]
Sm 0.500 0.500 0.500 [1 per cell]
Tl 0.500 0.500 0.000 [1 per cell]
Tl 0.500 0.500 0.244 [2 per cell]

Calculated values
- Calculated volume: 32.846 Å³/atom
- Mass density: 7.8 g cm⁻³
- Energy relative to the elements: -0.15 eV per atom
- Crystal system: tetragonal

(20)
Cs3GeTe3 | PBE | optimized geometry

Lattice parameters (Å, degrees): 22.516 8.111 15.320 90.00 90.00 90.00
Space group Cmce (No. 64)
Inequivalent atoms, fractional coordinates:
Cs 0.000 0.160 0.161 [8 per cell]
Cs 0.174 0.164 0.873 [16 per cell]
Ge 0.079 0.000 0.500 [8 per cell]
Te 0.000 0.214 0.412 [8 per cell]
Te 0.151 0.158 0.613 [16 per cell]

Calculated values
- Polymorph energy (0 for the lowest one): 60 meV per atom
- Calculated volume: 49.961 Å³/atom
- Mass density: 4.1 g cm⁻³
- Crystal system: orthorhombic
- Formation energy from raw total energies: -782 meV/atom